# 1
VASP calculation (PBE) on KZnCo2B after structural relaxation.

The structure in POSCAR format:
```
KZnCo2B
1.0
4.535 0.000 0.000
0.000 4.535 0.000
0.000 0.000 4.738
K Zn Co B
1 1 2 1
Cartesian
0.000 0.000 0.000
2.267 2.267 2.369
0.000 2.267 0.000
2.267 0.000 0.000
0.000 0.000 2.369
```

Calculated values
Formation energy, meV/atom: 2699.9
Space group: P4/mmm

---

# 2
VASP calculation (PBE) on CoAu2Se after structural relaxation.

The structure in POSCAR format:
```
CoAu2Se
1.0
2.704 -2.762 0.000
2.704 2.762 0.000
0.000 0.000 4.844
Co Au Se
1 2 1
Cartesian
0.000 0.000 0.000
2.704 1.420 2.422
2.704 -1.420 2.422
2.704 0.000 0.000
```

Calculated values
Raw formation energy, meV/atom: 335
Space group: Cmmm

---

# 3
VASP calculation (PBE) on Mn2MoIr after structural relaxation.

The structure in POSCAR format:
```
Mn2MoIr
1.0
4.361 -1.331 0.000
4.361 1.331 0.000
-0.794 0.000 4.613
Mn Mo Ir
2 1 1
Cartesian
1.946 0.000 1.101
5.982 0.000 3.511
-0.397 0.000 2.306
4.361 0.000 0.000
```

Calculated values
Formation energy, meV/atom: 51.9
Space group: C2/m

---

# 4
VASP calculation (PBE) on Ho2TcB6 after structural relaxation.

The structure in POSCAR format:
```
Ho2TcB6
1.0
-1.723 2.694 5.855
1.723 -2.694 5.855
1.723 2.694 -5.855
Ho Tc B
2 1 6
Cartesian
0.000 0.000 1.902
0.000 0.000 9.808
0.000 2.694 0.000
1.723 0.892 0.000
1.723 1.887 -1.401
1.723 1.887 1.401
0.000 0.807 4.454
0.000 0.807 7.257
0.000 1.802 5.855
```

Calculated values
Formation energy, meV/atom: -366.7
Space group: Immm

---

# 5
VASP calculation (PBE) on Ga2SiGeF after structural relaxation.

The structure in POSCAR format:
```
Ga2SiGeF
1.0
4.929 0.000 0.000
0.000 4.929 0.000
0.000 0.000 4.705
Ga Si Ge F
2 1 1 1
Cartesian
0.000 2.464 0.000
2.464 0.000 0.000
0.000 0.000 0.000
0.000 0.000 2.352
2.464 2.464 2.352
```

Calculated values
Raw formation energy, meV/atom: 121
Space group: P4/mmm

---

# 6
VASP calculation (PBE) on RbBa2HgCl after structural relaxation.

The structure in POSCAR format:
```
RbBa2HgCl
1.0
7.246 0.000 0.000
0.000 7.246 0.000
0.000 0.000 5.687
Rb Ba Hg Cl
1 2 1 1
Cartesian
0.000 0.000 0.000
0.000 3.623 0.000
3.623 0.000 0.000
3.623 3.623 2.843
0.000 0.000 2.843
```

Calculated values
Raw formation energy, meV/atom: -106
Space group: P4/mmm

---

# 7
VASP calculation (PBE) on Cd3InRu after structural relaxation.

The structure in POSCAR format:
```
Cd3InRu
1.0
5.212 0.000 0.000
0.000 5.212 0.000
0.000 0.000 5.212
Cd In Ru
3 1 1
Cartesian
0.000 0.000 2.606
0.000 2.606 0.000
2.606 0.000 0.000
2.606 2.606 2.606
0.000 0.000 0.000
```

Calculated values
Formation energy, meV/atom: 487.6
Space group: Pm-3m

---

# 8
VASP calculation (PBE) on Ba2HoSi3Pt12 after structural relaxation.

The structure in POSCAR format:
```
Ba2HoSi3Pt12
1.0
4.232 2.444 6.215
-4.232 2.444 6.215
0.000 -4.887 6.215
Ba Ho Si Pt
2 1 3 12
Cartesian
0.000 0.000 1.907
0.000 0.000 16.738
0.000 0.000 9.322
-2.116 -1.222 6.215
-2.116 1.222 12.430
0.000 2.444 6.215
-2.224 -1.284 8.553
0.000 -2.106 5.622
-1.824 1.053 5.622
0.000 -2.568 10.092
-2.224 1.284 10.092
-1.824 -1.053 13.023
1.824 1.053 5.622
2.224 -1.284 8.553
0.000 2.568 8.553
1.824 -1.053 13.023
0.000 2.106 13.023
2.224 1.284 10.092
```

Calculated values
Raw formation energy, meV/atom: -431
Space group: R-3m

---

# 9
VASP calculation (PBE) on Sr5In after structural relaxation.

The structure in POSCAR format:
```
Sr5In
1.0
7.066 0.000 0.000
-3.533 6.120 0.000
0.000 0.000 6.393
Sr In
5 1
Cartesian
-2.438 4.222 0.000
1.096 1.898 0.000
0.000 4.080 3.197
3.533 2.040 3.197
4.875 0.000 0.000
0.000 0.000 3.197
```

Calculated values
Formation energy, meV/atom: -44.1
Space group: P-62m

---

# 10
VASP calculation (PBE) on TbCu2Ni2Ge after structural relaxation.

The structure in POSCAR format:
```
TbCu2Ni2Ge
1.0
4.337 0.000 0.000
0.000 4.337 0.000
0.000 0.000 5.480
Tb Cu Ni Ge
1 2 2 1
Cartesian
0.000 0.000 0.000
2.169 2.169 1.309
2.169 2.169 4.171
0.000 2.169 2.740
2.169 0.000 2.740
0.000 0.000 2.740
```

Calculated values
Formation energy, meV/atom: 26.1
Space group: P4/mmm

---

# 11
VASP calculation (PBE) on TbSmInCo after structural relaxation.

The structure in POSCAR format:
```
TbSmInCo
1.0
0.000 3.646 3.646
3.646 0.000 3.646
3.646 3.646 0.000
Tb Sm In Co
1 1 1 1
Cartesian
0.000 0.000 0.000
3.646 3.646 3.646
1.823 1.823 1.823
5.468 5.468 5.468
```

Calculated values
Formation energy, meV/atom: -162.2
Space group: F-43m

---

# 12
VASP calculation (PBE) on Mg5Bi3O12 after structural relaxation.

The structure in POSCAR format:
```
Mg5Bi3O12
1.0
-6.263 6.263 6.263
6.263 -6.263 6.263
6.263 6.263 -6.263
Mg Bi O
20 12 48
Cartesian
0.000 0.000 0.000
3.132 3.132 -3.132
3.132 -3.132 3.132
6.263 0.000 0.000
9.395 1.566 0.000
6.263 -3.132 4.697
4.697 6.263 -3.132
4.697 0.000 3.132
3.132 4.697 0.000
6.263 3.132 1.566
-3.132 3.132 3.132
0.000 6.263 0.000
0.000 0.000 6.263
3.132 3.132 3.132
0.000 3.132 4.697
3.132 1.566 6.263
1.566 6.263 3.132
1.566 0.000 9.395
0.000 9.395 1.566
-3.132 4.697 6.263
3.132 1.566 0.000
6.263 3.132 -1.566
1.566 0.000 3.132
7.829 0.000 3.132
0.000 3.132 1.566
3.132 -1.566 6.263
3.132 7.829 0.000
6.263 3.132 4.697
-1.566 6.263 3.132
4.697 6.263 3.132
0.000 3.132 7.829
3.132 4.697 6.263
1.923 -0.285 0.801
7.472 3.932 -3.417
8.186 0.285 0.801
7.472 -2.331 3.417
5.978 -0.801 1.923
9.680 -1.209 2.331
0.801 1.923 -0.285
8.594 2.846 -1.209
3.932 3.417 -1.209
5.462 1.923 0.285
-0.285 0.801 1.923
3.417 -1.209 3.932
5.978 5.462 -1.923
3.417 1.209 2.331
3.932 -3.417 7.472
5.462 -1.923 5.978
2.331 3.417 1.209
7.064 4.340 0.285
3.417 7.472 -2.331
5.978 0.801 4.340
1.923 5.978 -0.801
7.472 2.331 2.846
1.209 2.331 3.417
1.923 0.285 5.462
4.340 5.978 0.801
5.054 3.932 2.846
-1.209 3.932 3.417
4.340 0.285 7.064
0.285 5.462 1.923
2.846 -1.209 8.594
-0.801 1.923 5.978
3.932 2.846 5.054
0.801 8.186 0.285
2.331 9.680 -1.209
2.846 5.054 3.932
0.285 0.801 8.186
2.846 7.472 2.331
6.548 5.462 4.340
0.801 4.340 5.978
2.331 2.846 7.472
-2.331 3.417 7.472
5.462 4.340 6.548
-3.417 7.472 3.932
0.285 7.064 4.340
-1.209 8.594 2.846
-1.923 5.978 5.462
-1.209 2.331 9.680
4.340 6.548 5.462
```

Calculated values
Raw formation energy, meV/atom: -1644
Space group: Ia-3d